# 1
First-principles (PBE) data for a relaxed Ce2Tl3BiS6 crystal, as listed in Alexandria.

Cell: 7.2384 7.2384 7.8685 Å, 98.84 98.84 120.01°
Element x y z (fractional)
Ce: 0.3333 0.6667 0.0000
Ce: 0.6667 0.3333 0.0000
Tl: 0.1663 0.8337 0.5000
Tl: 0.8337 0.1663 0.5000
Tl: 0.5000 0.5000 0.5000
Bi: 0.0000 0.0000 0.0000
S: 0.9323 0.5968 0.7968
S: 0.7324 0.7324 0.2036
S: 0.0677 0.4032 0.2032
S: 0.5968 0.9323 0.7968
S: 0.2676 0.2676 0.7964
S: 0.4032 0.0677 0.2032

Results
For the raw formation energy, the calculation gives -24.7 kcal/mol of atoms.

---

# 2
First-principles (PBE) data for a relaxed LiSc2AuO crystal, as listed in Alexandria.

Cell: 5.1393 4.4470 5.1393 Å, 90.00 90.00 90.00°
Element x y z (fractional)
Sc: 0.0000 0.0000 0.5000
Sc: 0.5000 0.0000 0.0000
Au: 0.0000 0.0000 0.0000
O: 0.5000 0.5000 0.5000
Li: 0.0000 0.5000 0.0000

Results
As for the energy above the most stable polymorph in this dataset: 159.1 kJ per mole of atoms. For the raw formation energy, the calculation gives 2.6 kcal/mol of atoms.

---

# 3
First-principles (PBE) data for a relaxed Si2IrF2 crystal, as listed in Alexandria.

Cell: 3.1704 3.1704 6.3308 Å, 75.50 75.50 90.00°
Element x y z (fractional)
Si: 0.3827 0.3827 0.2346
Si: 0.6173 0.6173 0.7654
Ir: 0.0000 0.0000 0.0000
F: 0.7500 0.2500 0.5000
F: 0.2500 0.7500 0.5000

Results
As for the energy above the most stable polymorph in this dataset: 21.2 kJ per mole of atoms. For the raw formation energy, the calculation gives -17.0 kcal/mol of atoms.

---

# 4
First-principles (PBE) data for a relaxed Cs2MgHg2 crystal, as listed in Alexandria.

Cell: 8.3594 8.3594 6.0938 Å, 90.00 90.00 90.00°
Element x y z (fractional)
Cs: 0.1757 0.6757 0.5000
Cs: 0.6757 0.8243 0.5000
Cs: 0.8243 0.3243 0.5000
Cs: 0.3243 0.1757 0.5000
Mg: 0.0000 0.0000 0.0000
Mg: 0.5000 0.5000 0.0000
Hg: 0.3611 0.8611 0.0000
Hg: 0.8611 0.6389 0.0000
Hg: 0.6389 0.1389 0.0000
Hg: 0.1389 0.3611 0.0000

Results
As for the energy above the most stable polymorph in this dataset: 7.0 kJ per mole of atoms.

---

# 5
First-principles (PBE) data for a relaxed KSr2H2 crystal, as listed in Alexandria.

Cell: 8.7240 8.7240 4.7074 Å, 90.00 90.00 90.00°
Element x y z (fractional)
Sr: 0.1750 0.6750 0.5000
Sr: 0.6750 0.8250 0.5000
Sr: 0.8250 0.3250 0.5000
Sr: 0.3250 0.1750 0.5000
K: 0.0000 0.0000 0.0000
K: 0.5000 0.5000 0.0000
H: 0.2224 0.7224 0.0000
H: 0.7224 0.7776 0.0000
H: 0.7776 0.2776 0.0000
H: 0.2776 0.2224 0.0000

Results
As for the energy above the most stable polymorph in this dataset: 28.1 kJ per mole of atoms.

---

# 6
First-principles (PBE) data for a relaxed GaAsPd3 crystal, as listed in Alexandria.

Cell: 4.1121 5.7211 7.4959 Å, 90.00 90.00 90.00°
Element x y z (fractional)
Ga: 0.0000 0.6583 0.3534
Ga: 0.0000 0.1583 0.6466
As: 0.5000 0.7221 0.8648
As: 0.5000 0.2221 0.1352
Pd: 0.5000 0.4087 0.4417
Pd: 0.5000 0.2948 0.8116
Pd: 0.0000 0.6116 0.6951
Pd: 0.5000 0.9087 0.5583
Pd: 0.0000 0.1116 0.3049
Pd: 0.5000 0.7948 0.1884

Results
As for the energy above the most stable polymorph in this dataset: 0.9 kJ per mole of atoms.

---

# 7
First-principles (PBE) data for a relaxed Ac6Co2HgI3 crystal, as listed in Alexandria.

Cell: 4.3486 10.1898 10.9104 Å, 110.74 101.50 90.00°
Element x y z (fractional)
Ac: 0.3355 0.8562 0.6710
Ac: 0.6852 0.5519 0.3705
Ac: 0.6645 0.1438 0.3290
Ac: 0.0310 0.2547 0.0619
Ac: 0.9690 0.7453 0.9381
Ac: 0.3148 0.4481 0.6295
Co: 0.8294 0.6569 0.6588
Co: 0.1706 0.3431 0.3412
Hg: 0.5000 0.0000 0.0000
I: 0.5000 0.5000 0.0000
I: 0.8381 0.1633 0.6763
I: 0.1619 0.8367 0.3237

Results
For the raw formation energy, the calculation gives -14.9 kcal/mol of atoms.

---

# 8
First-principles (PBE) data for a relaxed Np4CoSn8 crystal, as listed in Alexandria.

Cell: 4.4068 4.5893 15.9109 Å, 90.00 90.00 90.00°
Element x y z (fractional)
Np: 0.0000 0.0000 0.0848
Np: 0.0000 0.5000 0.6003
Np: 0.5000 0.5000 0.4016
Np: 0.5000 0.0000 0.9116
Co: 0.0000 0.0000 0.2995
Sn: 0.0000 0.0000 0.4537
Sn: 0.0000 0.5000 0.9287
Sn: 0.5000 0.5000 0.0670
Sn: 0.5000 0.0000 0.5794
Sn: 0.0000 0.5000 0.2340
Sn: 0.0000 0.0000 0.7530
Sn: 0.5000 0.0000 0.2310
Sn: 0.5000 0.5000 0.7585

Results
As for the total DFT energy (no corrections): -7.02 eV per atom.

---

# 9
First-principles (PBE) data for a relaxed Zn2CrIr crystal, as listed in Alexandria.

Cell: 5.0449 5.0449 5.0449 Å, 145.13 128.44 63.76°
Element x y z (fractional)
Cr: 0.7500 0.2500 0.5000
Ir: 0.2500 0.7500 0.5000
Zn: 0.0016 0.0016 0.0000
Zn: 0.4984 0.4984 0.0000

Results
As for the energy above the most stable polymorph in this dataset: 8.5 kJ per mole of atoms.

---

# 10
First-principles (PBE) data for a relaxed TlCuRh crystal, as listed in Alexandria.

Cell: 3.8964 3.8964 6.8436 Å, 90.00 90.00 90.00°
Element x y z (fractional)
Tl: 0.0000 0.5000 0.8248
Tl: 0.5000 0.0000 0.1752
Rh: 0.0000 0.5000 0.2381
Rh: 0.5000 0.0000 0.7619
Cu: 0.5000 0.5000 0.5000
Cu: 0.0000 0.0000 0.5000

Results
As for the energy above the most stable polymorph in this dataset: 0.0 kJ per mole of atoms.

---

# 11
First-principles (PBE) data for a relaxed ScNiBr2 crystal, as listed in Alexandria.

Cell: 6.0694 6.0694 6.0694 Å, 143.51 143.51 52.56°
Element x y z (fractional)
Br: 0.0000 0.0000 0.0000
Br: 0.2500 0.7500 0.5000
Ni: 0.5000 0.5000 0.0000
Sc: 0.7500 0.2500 0.5000

Results
As for the energy above the most stable polymorph in this dataset: 50.9 kJ per mole of atoms. For the raw formation energy, the calculation gives -5.7 kcal/mol of atoms.

---

# 12
First-principles (PBE) data for a relaxed CsBaMg14 crystal, as listed in Alexandria.

Cell: 6.6811 6.6811 11.1359 Å, 90.00 90.00 119.25°
Element x y z (fractional)
Cs: 0.9070 0.0930 0.5000
Ba: 0.4054 0.5946 0.5000
Mg: 0.7992 0.2008 0.0000
Mg: 0.3005 0.6995 0.0000
Mg: 0.4080 0.0942 0.5000
Mg: 0.3134 0.1850 0.0000
Mg: 0.9058 0.5920 0.5000
Mg: 0.8150 0.6866 0.0000
Mg: 0.1420 0.3587 0.2132
Mg: 0.1420 0.3587 0.7868
Mg: 0.6413 0.8580 0.2132
Mg: 0.6413 0.8580 0.7868
Mg: 0.6404 0.3596 0.2490
Mg: 0.6404 0.3596 0.7510
Mg: 0.1491 0.8509 0.2483
Mg: 0.1491 0.8509 0.7517

Results
As for the energy above the most stable polymorph in this dataset: 0.0 kJ per mole of atoms.

---

How do the records compare in total moment? In the order shown, they have 1.96, 0.00, 0.40, 0.00, 0.00, 0.00, 0.00, 16.71, 3.19, 0.00, 0.00, 0.00 μB per cell.
How do the records compare in D(E_F)? In the order shown, they have 1.033, 0.890, 0.583, 0.688, 0.537, 0.390, 0.785, 3.146, 0.451, 0.514, 0.745, 0.451 states/eV/atom.